Record 1
Sb2POs: PBEsol geometry, meta-GGA SCAN.

abc: 4.4301 4.8673 4.4301
angles: 62.93 90.00 117.07
Closest atoms and distances in Å follow each position.
Element x y z (fractional)
Os 0.5000 0.0000 0.5000  8 Sb 2.89, 4 P 3.13
P 0.0000 0.0000 0.0000  8 Sb 2.89, 4 Os 3.13
Sb 0.2500 0.5000 0.2500  4 Os 2.89, 4 P 2.89, 4 Sb 3.13
Sb 0.7500 0.5000 0.7500  4 P 2.89, 4 Os 2.89, 4 Sb 3.13

Summary:
Space group = I4/mmm, No. 139
Energy = -38.38 eV/atom
Total magnetic moment = 0.00 μB per formula unit
ΔE_f (raw) = 0.817 eV per atom

***

Record 2
MgAg: PBEsol geometry, meta-GGA SCAN.

abc: 3.0035 4.5988 5.5306
angles: 90.00 105.76 90.00
Closest atoms and distances in Å follow each position.
Element x y z (fractional)
Mg 0.8410 0.7500 0.6821  7 Ag 2.82-2.92, 2 Mg 3.00
Mg 0.1590 0.2500 0.3179  7 Ag 2.82-2.92, 2 Mg 3.00
Ag 0.5764 0.7500 0.1527  4 Ag 2.82-3.00, 7 Mg 2.82-2.92
Ag 0.4236 0.2500 0.8473  4 Ag 2.82-3.00, 7 Mg 2.82-2.92

Summary:
Space group = Cmcm, No. 63
Energy = -18.38 eV/atom
Total magnetic moment = 0.00 μB per formula unit

***

Record 3
SrFeSe2: PBEsol geometry, meta-GGA SCAN.

abc: 3.5294 4.9071 4.9071
angles: 90.00 90.00 90.00
Closest atoms and distances in Å follow each position.
Element x y z (fractional)
Fe 0.5000 0.0000 0.0000  8 Se 3.02
Se 0.0000 0.0000 0.5000  4 Fe 3.02, 4 Sr 3.02
Se 0.0000 0.5000 0.0000  4 Fe 3.02, 4 Sr 3.02
Sr 0.5000 0.5000 0.5000  8 Se 3.02

Summary:
Space group = P4/mmm, No. 123
Energy = -20.81 eV/atom
Total magnetic moment = 3.31 μB per formula unit
ΔE_f (raw) = -0.674 eV per atom

***

Record 4
SrLaS2Cl: PBEsol geometry, meta-GGA SCAN.

abc: 5.0773 5.3834 5.3834
angles: 90.00 90.00 90.00
Closest atoms and distances in Å follow each position.
Element x y z (fractional)
Sr 0.0000 0.0000 0.0000  2 Cl 2.54, 4 S 2.69
S 0.0000 0.0000 0.5000  2 Sr 2.69
S 0.0000 0.5000 0.0000  2 Sr 2.69
Cl 0.5000 0.0000 0.0000  2 Sr 2.54
La 0.5000 0.5000 0.5000  8 S 3.70, 4 Cl 3.81

Summary:
Space group = P4/mmm, No. 123
Energy = -20.08 eV/atom
Total magnetic moment = 0.18 μB per formula unit
ΔE_f (raw) = -1.552 eV per atom

***

Record 5
HgBiRuBr2: PBEsol geometry, meta-GGA SCAN.

abc: 5.2319 5.2319 5.3334
angles: 90.00 90.00 90.00
Closest atoms and distances in Å follow each position.
Element x y z (fractional)
Ru 0.0000 0.0000 0.5000  2 Hg 2.67
Bi 0.5000 0.5000 0.5000  4 Ru 3.70, 8 Br 3.74
Br 0.0000 0.5000 0.0000  2 Hg 2.62
Br 0.5000 0.0000 0.0000  2 Hg 2.62
Hg 0.0000 0.0000 0.0000  4 Br 2.62, 2 Ru 2.67

Summary:
Space group = P4/mmm, No. 123
Energy = -43.02 eV/atom
Total magnetic moment = 2.76 μB per formula unit
ΔE_f (raw) = 1.079 eV per atom

***

Record 6
Ti3NbAg: PBEsol geometry, meta-GGA SCAN.

abc: 4.6858 4.6858 4.6858
angles: 90.00 90.00 90.00
Closest atoms and distances in Å follow each position.
Element x y z (fractional)
Nb 0.0000 0.0000 0.0000  6 Ti 2.34
Ag 0.5000 0.5000 0.5000  12 Ti 3.31
Ti 0.0000 0.5000 0.0000  2 Nb 2.34
Ti 0.0000 0.0000 0.5000  2 Nb 2.34
Ti 0.5000 0.0000 0.0000  2 Nb 2.34

Summary:
Space group = Pm-3m, No. 221
Energy = -21.47 eV/atom
Total magnetic moment = 2.28 μB per formula unit

***

Record 7
ZnBPCl2: PBEsol geometry, meta-GGA SCAN.

abc: 4.1962 4.1962 4.4503
angles: 90.00 90.00 90.00
Closest atoms and distances in Å follow each position.
Element x y z (fractional)
P 0.0000 0.0000 0.5000  2 B 2.23
Zn 0.5000 0.5000 0.5000  4 P 2.97, 8 Cl 3.06
B 0.0000 0.0000 0.0000  4 Cl 2.10, 2 P 2.23
Cl 0.0000 0.5000 0.0000  2 B 2.10
Cl 0.5000 0.0000 0.0000  2 B 2.10

Summary:
Space group = P4/mmm, No. 123
Energy = -8.86 eV/atom
Total magnetic moment = 0.00 μB per formula unit
ΔE_f (raw) = 0.604 eV per atom

***

Record 8
KS2F: PBEsol geometry, meta-GGA SCAN.

abc: 4.9391 4.9391 4.9391
angles: 60.00 60.00 60.00
Closest atoms and distances in Å follow each position.
Element x y z (fractional)
K 0.5000 0.5000 0.5000  8 S 3.02
S 0.2500 0.2500 0.2500  4 F 3.02, 4 K 3.02
S 0.7500 0.7500 0.7500  4 K 3.02, 4 F 3.02
F 0.0000 0.0000 0.0000  8 S 3.02

Summary:
Space group = Fm-3m, No. 225
Energy = -7.65 eV/atom
Total magnetic moment = 4.00 μB per formula unit
ΔE_f (raw) = 0.128 eV per atom